PBE Ce2Ga2SiPt4, optimized geometry; Fermi-level density of states = 1.5249 states/eV per atom; M_tot = 1.4 μB/f.u.; E_tot = -6.070 eV per atom
1.0
-5.1211 -1.3554 -3.2399
2.1548 -4.3551 3.8664
-0.4768 4.3870 4.3688
Ce Pt Ga Si
2 4 2 1
direct
0.5000 0.2500 0.7500 Ce
0.5000 0.7500 0.2500 Ce
0.0000 0.7363 0.2637 Pt
0.5275 0.2637 0.2637 Pt
0.4725 0.7363 0.7363 Pt
0.0000 0.2637 0.7363 Pt
0.0000 0.6825 0.6825 Ga
0.0000 0.3175 0.3175 Ga
0.0000 0.0000 0.0000 Si